[1]
Below is a relaxed PSeS2Br crystal, with properties calculated at the PBE level.

As for the theoretical density: 3.7 g cm⁻³. The energy above the most stable polymorph in this dataset comes out at 0.0000 eV/atom. As for the density of states at the Fermi level: 0.736 states/eV/atom. As for the uncorrected formation energy: 0.949 eV per atom. The volume is 115.0 Å³/cell.

It has space group P4/mmm (No. 123), with a = 4.7425 Å, b = 4.7425 Å, c = 5.1127 Å, α = 90.00°, β = 90.00° and γ = 90.00°. Symmetry generates all atoms from P at (0.0000, 0.0000, 0.0000), Se at (0.0000, 0.0000, 0.5000), S at (0.0000, 0.5000, 0.5000) and Br at (0.5000, 0.5000, 0.0000).

***

[2]
Below is a relaxed SiP2SBr crystal, with properties calculated at the PBE level.

As for the theoretical density: 3.4 g cm⁻³. The energy above the most stable polymorph in this dataset comes out at 0.0000 eV/atom. As for the density of states at the Fermi level: 0.679 states/eV/atom. As for the uncorrected formation energy: 0.700 eV per atom. The volume is 97.5 Å³/cell.

It has space group P4/mmm (No. 123), with a = 4.7047 Å, b = 4.7047 Å, c = 4.4049 Å, α = 90.00°, β = 90.00° and γ = 90.00°. Symmetry generates all atoms from Si at (0.0000, 0.0000, 0.0000), P at (0.0000, 0.5000, 0.0000), S at (0.0000, 0.0000, 0.5000) and Br at (0.5000, 0.5000, 0.5000).

***

[3]
Below is a relaxed SiP2SBr crystal, with properties calculated at the PBE level.

As for the theoretical density: 3.0 g cm⁻³. The energy above the most stable polymorph in this dataset comes out at 0.8657 eV/atom. As for the density of states at the Fermi level: 1.008 states/eV/atom. As for the uncorrected formation energy: 1.565 eV per atom. The volume is 112.7 Å³/cell.

It has space group P4/mmm (No. 123), with a = 4.8895 Å, b = 4.8895 Å, c = 4.7150 Å, α = 90.00°, β = 90.00° and γ = 90.00°. Symmetry generates all atoms from Si at (0.0000, 0.0000, 0.0000), P at (0.0000, 0.5000, 0.5000), S at (0.5000, 0.5000, 0.0000) and Br at (0.5000, 0.5000, 0.5000).

***

[4]
Below is a relaxed SmPS4Br crystal, with properties calculated at the PBE level.

As for the theoretical density: 3.2 g cm⁻³. As for the density of states at the Fermi level: 0.000 states/eV/atom. As for the uncorrected formation energy: -0.886 eV per atom. The volume is 811.0 Å³/cell.

It has space group C2/m (No. 12), with a = 13.5345 Å, b = 8.8148 Å, c = 7.1243 Å, α = 90.00°, β = 107.42° and γ = 90.00°. Symmetry generates all atoms from Sm at (0.1751, 0.0000, 0.0686), P at (0.1623, 0.5000, 0.2763), S at (0.0017, 0.5000, 0.1486), S at (0.1608, 0.5000, 0.5540), S at (0.2308, 0.3236, 0.1681) and Br at (0.0144, 0.0000, 0.2578).

***

[5]
Below is a relaxed Sm6P3S2Br crystal, with properties calculated at the PBE level.

As for the theoretical density: 6.5 g cm⁻³. As for the density of states at the Fermi level: 0.373 states/eV/atom. As for the uncorrected formation energy: -1.729 eV per atom. The volume is 586.2 Å³/cell.

It has space group C2/m (No. 12), with a = 17.9399 Å, b = 4.0758 Å, c = 8.2610 Å, α = 90.00°, β = 103.94° and γ = 90.00°. Symmetry generates all atoms from Sm at (0.0011, 0.0000, 0.2233), Sm at (0.1653, 0.5000, 0.0886), Sm at (0.1774, 0.5000, 0.5833), P at (0.0000, 0.5000, 0.0000), P at (0.1633, 0.0000, 0.3334), S at (0.1660, 0.0000, 0.8308) and Br at (0.0000, 0.5000, 0.5000).

***

[6]
Below is a relaxed Sm4PS2Br crystal, with properties calculated at the PBE level.

As for the theoretical density: 6.6 g cm⁻³. As for the density of states at the Fermi level: 0.340 states/eV/atom. As for the uncorrected formation energy: -1.721 eV per atom. The volume is 194.7 Å³/cell.

It has space group P2/m (No. 10), with a = 7.0489 Å, b = 4.0775 Å, c = 7.1754 Å, α = 90.00°, β = 109.26° and γ = 90.00°. Symmetry generates all atoms from Sm at (0.2227, 0.0000, 0.2154), Sm at (0.2420, 0.5000, 0.7731), P at (0.5000, 0.0000, 0.0000), S at (0.0000, 0.0000, 0.5000), S at (0.0000, 0.5000, 0.0000) and Br at (0.5000, 0.5000, 0.5000).

***

[7]
Below is a relaxed Sr4PSBr2 crystal, with properties calculated at the PBE level.

As for the theoretical density: 3.9 g cm⁻³. As for the density of states at the Fermi level: 0.424 states/eV/atom. As for the uncorrected formation energy: -1.685 eV per atom. The volume is 246.6 Å³/cell.

It has space group P2/m (No. 10), with a = 7.6099 Å, b = 4.4114 Å, c = 7.7744 Å, α = 90.00°, β = 109.12° and γ = 90.00°. Symmetry generates all atoms from Sr at (0.2341, 0.0000, 0.2139), Sr at (0.2579, 0.5000, 0.7859), P at (0.0000, 0.5000, 0.0000), S at (0.5000, 0.0000, 0.0000), Br at (0.0000, 0.0000, 0.5000) and Br at (0.5000, 0.5000, 0.5000).

***

[8]
Below is a relaxed Sr4PS2Br crystal, with properties calculated at the PBE level.

As for the theoretical density: 3.7 g cm⁻³. As for the uncorrected formation energy: -1.819 eV per atom. The volume is 237.1 Å³/cell.

It has space group P2/m (No. 10), with a = 7.5462 Å, b = 4.3843 Å, c = 7.5681 Å, α = 90.00°, β = 108.71° and γ = 90.00°. Symmetry generates all atoms from Sr at (0.2338, 0.0000, 0.2251), Sr at (0.2493, 0.5000, 0.7647), P at (0.5000, 0.0000, 0.0000), S at (0.0000, 0.0000, 0.5000), S at (0.0000, 0.5000, 0.0000) and Br at (0.5000, 0.5000, 0.5000).

***

[9]
Below is a relaxed TaPS2Br crystal, with properties calculated at the PBE level.

As for the theoretical density: 5.2 g cm⁻³. The energy above the most stable polymorph in this dataset comes out at 0.0000 eV/atom. As for the density of states at the Fermi level: 0.857 states/eV/atom. As for the uncorrected formation energy: 0.021 eV per atom. The volume is 114.0 Å³/cell.

It has space group P4/mmm (No. 123), with a = 4.6849 Å, b = 4.6849 Å, c = 5.1944 Å, α = 90.00°, β = 90.00° and γ = 90.00°. Symmetry generates all atoms from Ta at (0.0000, 0.0000, 0.0000), P at (0.0000, 0.0000, 0.5000), S at (0.0000, 0.5000, 0.0000) and Br at (0.5000, 0.5000, 0.5000).

***

[10]
Below is a relaxed TaPS2Br crystal, with properties calculated at the PBE level.

As for the theoretical density: 5.8 g cm⁻³. The energy above the most stable polymorph in this dataset comes out at 1.5802 eV/atom. As for the density of states at the Fermi level: 1.273 states/eV/atom. As for the uncorrected formation energy: 1.601 eV per atom. The volume is 101.5 Å³/cell.

It has space group P4/mmm (No. 123), with a = 4.6449 Å, b = 4.6449 Å, c = 4.7038 Å, α = 90.00°, β = 90.00° and γ = 90.00°. Symmetry generates all atoms from Ta at (0.0000, 0.0000, 0.0000), P at (0.5000, 0.5000, 0.0000), S at (0.0000, 0.5000, 0.5000) and Br at (0.5000, 0.5000, 0.5000).

***

[11]
Below is a relaxed Tb6P3S2Br crystal, with properties calculated at the PBE level.

As for the theoretical density: 7.2 g cm⁻³. As for the density of states at the Fermi level: 0.366 states/eV/atom. As for the uncorrected formation energy: -1.726 eV per atom. The volume is 552.8 Å³/cell.

It has space group C2/m (No. 12), with a = 17.5841 Å, b = 3.9999 Å, c = 8.0935 Å, α = 90.00°, β = 103.81° and γ = 90.00°. Symmetry generates all atoms from Tb at (0.0008, 0.0000, 0.2222), Tb at (0.1651, 0.5000, 0.0892), Tb at (0.1781, 0.5000, 0.5835), P at (0.0000, 0.5000, 0.0000), P at (0.1627, 0.0000, 0.3336), S at (0.1662, 0.0000, 0.8310) and Br at (0.0000, 0.5000, 0.5000).

***

[12]
Below is a relaxed TcPS2Br crystal, with properties calculated at the PBE level.

As for the theoretical density: 4.5 g cm⁻³. The energy above the most stable polymorph in this dataset comes out at 0.0000 eV/atom. As for the density of states at the Fermi level: 0.828 states/eV/atom. As for the uncorrected formation energy: 0.341 eV per atom. The volume is 101.8 Å³/cell.

It has space group P4/mmm (No. 123), with a = 4.5367 Å, b = 4.5367 Å, c = 4.9463 Å, α = 90.00°, β = 90.00° and γ = 90.00°. Symmetry generates all atoms from Tc at (0.0000, 0.0000, 0.0000), P at (0.0000, 0.0000, 0.5000), S at (0.0000, 0.5000, 0.0000) and Br at (0.5000, 0.5000, 0.5000).